No. 1
# TlCF2, relaxed, DFT PBE-GGA
data_TlCF2
_chemical_formula_sum 'Tl4 C4 F8'
_cell_length_a 6.0754
_cell_length_b 6.0754
_cell_length_c 6.0754
_cell_angle_alpha 90.00
_cell_angle_beta 90.00
_cell_angle_gamma 90.00
_space_group_name_H-M_alt 'F m -3 m'
_space_group_IT_number 225
_space_group_name_Hall '-F 4 2 3'
loop_
_atom_site_label
_atom_site_type_symbol
_atom_site_fract_x
_atom_site_fract_y
_atom_site_fract_z
_atom_site_occupancy
Tl1 Tl 0.0000 0.0000 0.0000 1
C1 C 0.0000 0.0000 0.5000 1
F1 F 0.2500 0.2500 0.2500 1
# Energy   -0.2410 Ry/atom
# Calculated volume   14.02 A^3/atom
# ΔE_f (raw)   554 meV/atom
# Crystal system   cubic
# Spin magnetization   1.00 μB/f.u.
# Distance to the lowest polymorph of the same formula   307 meV per atom

***

No. 2
# TlCF2, relaxed, DFT PBE-GGA
data_TlCF2
_chemical_formula_sum 'Tl3 C3 F6'
_cell_length_a 3.7182
_cell_length_b 3.7182
_cell_length_c 21.0451
_cell_angle_alpha 90.00
_cell_angle_beta 90.00
_cell_angle_gamma 120.00
_space_group_name_H-M_alt 'R -3 m'
_space_group_IT_number 166
_space_group_name_Hall '-R 3 2"'
loop_
_atom_site_label
_atom_site_type_symbol
_atom_site_fract_x
_atom_site_fract_y
_atom_site_fract_z
_atom_site_occupancy
Tl1 Tl 0.0000 0.0000 0.0000 1
C1 C 0.0000 0.0000 0.5000 1
F1 F 0.0000 0.0000 0.4160 1
# Energy   -0.2636 Ry/atom
# Calculated volume   21.00 A^3/atom
# ΔE_f (raw)   247 meV/atom
# Crystal system   trigonal
# Spin magnetization   1.00 μB/f.u.
# Distance to the lowest polymorph of the same formula   0 meV per atom

***

No. 3
# TlC2F, relaxed, DFT PBE-GGA
data_TlC2F
_chemical_formula_sum 'Tl4 C8 F4'
_cell_length_a 5.7926
_cell_length_b 5.7926
_cell_length_c 5.7926
_cell_angle_alpha 90.00
_cell_angle_beta 90.00
_cell_angle_gamma 90.00
_space_group_name_H-M_alt 'F m -3 m'
_space_group_IT_number 225
_space_group_name_Hall '-F 4 2 3'
loop_
_atom_site_label
_atom_site_type_symbol
_atom_site_fract_x
_atom_site_fract_y
_atom_site_fract_z
_atom_site_occupancy
Tl1 Tl 0.0000 0.0000 0.0000 1
C1 C 0.2500 0.2500 0.2500 1
F1 F 0.0000 0.0000 0.5000 1
# Energy   -0.2516 Ry/atom
# Calculated volume   12.15 A^3/atom
# ΔE_f (raw)   2247 meV/atom
# Crystal system   cubic
# Spin magnetization   0.00 μB/f.u.
# Distance to the lowest polymorph of the same formula   1095 meV per atom

***

No. 4
# TlC2F, relaxed, DFT PBE-GGA
data_TlC2F
_chemical_formula_sum 'Tl4 C8 F4'
_cell_length_a 3.1262
_cell_length_b 3.1262
_cell_length_c 26.0467
_cell_angle_alpha 90.00
_cell_angle_beta 90.00
_cell_angle_gamma 90.00
_space_group_name_H-M_alt 'I 41/a m d'
_space_group_IT_number 141
loop_
_space_group_symop_operation_xyz
'x,y,z'
'-x,-y,-z'
'-y+1/4,x+3/4,z+1/4'
'y+1/4,-x+3/4,-z+1/4'
'-x+1/2,-y,z+1/2'
'x+1/2,y,-z+1/2'
'y+1/4,-x+1/4,z+3/4'
'-y+1/4,x+1/4,-z+3/4'
'x,-y,-z'
'-x,y,z'
'-y+1/4,-x+1/4,-z+3/4'
'y+1/4,x+1/4,z+3/4'
'-x+1/2,y,-z+1/2'
'x+1/2,-y,z+1/2'
'y+1/4,x+3/4,-z+1/4'
'-y+1/4,-x+3/4,z+1/4'
'x+1/2,y+1/2,z+1/2'
'-x+1/2,-y+1/2,-z+1/2'
'-y+3/4,x+1/4,z+3/4'
'y+3/4,-x+1/4,-z+3/4'
'-x,-y+1/2,z'
'x,y+1/2,-z'
'y+3/4,-x+3/4,z+1/4'
'-y+3/4,x+3/4,-z+1/4'
'x+1/2,-y+1/2,-z+1/2'
'-x+1/2,y+1/2,z+1/2'
'-y+3/4,-x+3/4,-z+1/4'
'y+3/4,x+3/4,z+1/4'
'-x,y+1/2,-z'
'x,-y+1/2,z'
'y+3/4,x+1/4,-z+3/4'
'-y+3/4,-x+1/4,z+3/4'
loop_
_atom_site_label
_atom_site_type_symbol
_atom_site_fract_x
_atom_site_fract_y
_atom_site_fract_z
_atom_site_occupancy
Tl1 Tl 0.0000 0.2500 0.3750 1
C1 C 0.0000 0.0000 0.0000 1
F1 F 0.0000 0.2500 0.8750 1
# Energy   -0.3321 Ry/atom
# Calculated volume   15.91 A^3/atom
# ΔE_f (raw)   1153 meV/atom
# Crystal system   tetragonal
# Spin magnetization   0.00 μB/f.u.
# Distance to the lowest polymorph of the same formula   0 meV per atom

***

Question: Among the records above, which one has the highest distance to the lowest polymorph of the same formula?
Answer: number 3

***

Repeat the first record exactly.
# TlCF2, relaxed, DFT PBE-GGA
data_TlCF2
_chemical_formula_sum 'Tl4 C4 F8'
_cell_length_a 6.0754
_cell_length_b 6.0754
_cell_length_c 6.0754
_cell_angle_alpha 90.00
_cell_angle_beta 90.00
_cell_angle_gamma 90.00
_space_group_name_H-M_alt 'F m -3 m'
_space_group_IT_number 225
_space_group_name_Hall '-F 4 2 3'
loop_
_atom_site_label
_atom_site_type_symbol
_atom_site_fract_x
_atom_site_fract_y
_atom_site_fract_z
_atom_site_occupancy
Tl1 Tl 0.0000 0.0000 0.0000 1
C1 C 0.0000 0.0000 0.5000 1
F1 F 0.2500 0.2500 0.2500 1
# Energy   -0.2410 Ry/atom
# Calculated volume   14.02 A^3/atom
# ΔE_f (raw)   554 meV/atom
# Crystal system   cubic
# Spin magnetization   1.00 μB/f.u.
# Distance to the lowest polymorph of the same formula   307 meV per atom

***

Question: The lowest calculated volume belongs to which entry?
Answer: number 3